{
  "formula": "AcSnBi",
  "functional": "PBE-GGA",
  "state": "relaxed",
  "polymorph_energy_mev_per_atom": 180,
  "magnetic_moment_mub_per_fu": 0.000,
  "rho_g_cm3": 8.85,
  "delta_e_f_mev_per_atom": -505,
  "dos_at_fermi_per_ev_fu": 2.36,
  "space_group": "No. 187",
  "lattice_angstrom": [[4.262, 0.000, 0.000], [0.000, 5.310, 0.000], [0.000, -2.655, 4.599]],
  "species": ["Ac", "Bi", "Sn"],
  "frac_coords": [[0.333, 0.667, 0.333], [0.834, 0.333, 0.667], [0.833, 0.000, 0.000]]
}



{
  "formula": "AcSnBi",
  "functional": "PBE-GGA",
  "state": "relaxed",
  "polymorph_energy_mev_per_atom": 274,
  "magnetic_moment_mub_per_fu": 0.000,
  "rho_g_cm3": 8.57,
  "delta_e_f_mev_per_atom": -411,
  "dos_at_fermi_per_ev_fu": 2.59,
  "space_group": "No. 107",
  "lattice_angstrom": [[4.625, 0.000, 0.000], [0.000, 4.625, 0.000], [-2.313, -2.313, 5.022]],
  "species": ["Ac", "Bi", "Sn"],
  "frac_coords": [[0.280, 0.280, 0.560], [0.639, 0.639, 0.278], [0.931, 0.931, 0.863]]
}